(1)
Here is SrHgN2 at its PBEsol-relaxed geometry from Alexandria. Energies are from SCAN.

For the energy relative to the elements, uncorrected, the calculation gives 0.63 eV/atom. For the density of states at the Fermi level, the calculation gives 0.0152 states/eV per atom.

It has space group I-42d (No. 122), with a = 4.911 Å, b = 4.911 Å, c = 12.609 Å, α = 90.00°, β = 90.00° and γ = 90.00°. Symmetry generates all atoms from Sr at (0.000, 0.000, 0.000), Hg at (0.000, 0.000, 0.500) and N at (0.197, 0.250, 0.625).

=====

(2)
Here is BeCr3H at its PBEsol-relaxed geometry from Alexandria. Energies are from SCAN.

The calculation puts the final energy at -12.448 eV/atom. For the density of states at the Fermi level, the calculation gives 0.7159 states/eV per atom.

It has space group Pm-3m (No. 221), with a = 3.539 Å, b = 3.539 Å, c = 3.539 Å, α = 90.00°, β = 90.00° and γ = 90.00°. Symmetry generates all atoms from Be at (0.000, 0.000, 0.000), Cr at (0.000, 0.500, 0.500) and H at (0.500, 0.500, 0.500).

=====

(3)
Here is KBeCl at its PBEsol-relaxed geometry from Alexandria. Energies are from SCAN.

For the energy relative to the elements, uncorrected, the calculation gives -0.18 eV/atom. The offset from the most stable computed form comes out at 0.0 meV/atom.

It has space group P3m1 (No. 156), with a = 3.7295 Å, b = 3.7295 Å, c = 6.2859 Å, α = 90.00°, β = 90.00° and γ = 120.00°. Symmetry generates all atoms from K at (0.0000, 0.0000, 0.0000), Be at (0.3333, 0.6667, 0.5953) and Cl at (0.6667, 0.3333, 0.3580).

=====

Number 1: M_tot 8.00 μB per cell. Number 2: M_tot 0.00 μB per cell. Number 3: M_tot 0.00 μB per cell.